Here is crystalline RbTmCuF6 at its relaxed geometry from the Alexandria database. Energies are from PBE-GGA.

abc: 7.319 7.319 7.319
angles: 120.32 117.51 91.90
Positions (direct):
1 Rb 0.408 0.158 0.250
2 Rb 0.592 0.842 0.750
3 Tm 0.000 0.000 0.500
4 Tm 0.000 0.500 0.000
5 Cu 0.000 0.500 0.500
6 Cu 0.500 0.500 0.000
7 F 0.121 0.871 0.250
8 F 0.131 0.381 0.750
9 F 0.141 0.435 0.311
10 F 0.141 0.829 0.706
11 F 0.376 0.171 0.811
12 F 0.376 0.565 0.206
13 F 0.624 0.435 0.794
14 F 0.624 0.829 0.189
15 F 0.859 0.171 0.294
16 F 0.859 0.565 0.689
17 F 0.869 0.619 0.250
18 F 0.879 0.129 0.750

Values from the calculation:
Space group = Imma
Formation energy (no corrections) = -2946 meV/atom

Here is crystalline RbUCu2F8 at its relaxed geometry from the Alexandria database. Energies are from PBE-GGA.

abc: 8.795 8.795 8.795
angles: 34.96 34.96 34.96
Positions (direct):
1 Rb 0.000 0.000 0.000
2 U 0.500 0.500 0.500
3 Cu 0.270 0.270 0.270
4 Cu 0.730 0.730 0.730
5 F 0.108 0.764 0.479
6 F 0.236 0.521 0.892
7 F 0.345 0.345 0.345
8 F 0.479 0.108 0.764
9 F 0.521 0.892 0.236
10 F 0.655 0.655 0.655
11 F 0.764 0.479 0.108
12 F 0.892 0.236 0.521

Values from the calculation:
Space group = R-3
Formation energy (no corrections) = -2513 meV/atom

Which formula does entry 2 have?
RbUCu2F8